[1]
# Sb2TeAsBr

An optimized crystal structure of Sb2TeAsBr (PBE, the Alexandria database).

The structure in POSCAR format:
```
Sb2TeAsBr
1.0
5.4459 0.0000 0.0000
0.0000 5.4459 0.0000
0.0000 0.0000 5.4929
Sb Te As Br
2 1 1 1
Cartesian
0.0000 2.7230 0.0000
2.7230 0.0000 0.0000
0.0000 0.0000 2.7464
0.0000 0.0000 0.0000
2.7230 2.7230 2.7464
```

Results
- magnetic moment (μB/f.u.) = 0.0
- energy relative to the lowest polymorph listed for this composition (kJ/mol of atoms) = 0.0


[2]
# TiSbAsBr2

An optimized crystal structure of TiSbAsBr2 (PBE, the Alexandria database).

The structure in POSCAR format:
```
TiSbAsBr2
1.0
4.9273 0.0000 0.0000
0.0000 4.9273 0.0000
0.0000 0.0000 5.4781
Ti Sb As Br
1 1 1 2
Cartesian
0.0000 0.0000 0.0000
2.4636 2.4636 2.7391
0.0000 0.0000 2.7391
0.0000 2.4636 0.0000
2.4636 0.0000 0.0000
```

Results
- magnetic moment (μB/f.u.) = 1.9
- energy relative to the lowest polymorph listed for this composition (kJ/mol of atoms) = 0.0


[3]
# TlSbAsBr2

An optimized crystal structure of TlSbAsBr2 (PBE, the Alexandria database).

The structure in POSCAR format:
```
TlSbAsBr2
1.0
5.7736 0.0000 0.0000
0.0000 5.7736 0.0000
0.0000 0.0000 5.3977
Tl Sb As Br
1 1 1 2
Cartesian
0.0000 0.0000 0.0000
2.8868 2.8868 2.6989
2.8868 2.8868 0.0000
0.0000 2.8868 2.6989
2.8868 0.0000 2.6989
```

Results
- magnetic moment (μB/f.u.) = 0.7
- energy relative to the lowest polymorph listed for this composition (kJ/mol of atoms) = 0.0


[4]
# SbAs2WBr

An optimized crystal structure of SbAs2WBr (PBE, the Alexandria database).

The structure in POSCAR format:
```
SbAs2WBr
1.0
4.9565 0.0000 0.0000
0.0000 4.9565 0.0000
0.0000 0.0000 5.0997
Sb As W Br
1 2 1 1
Cartesian
0.0000 0.0000 0.0000
0.0000 2.4783 2.5498
2.4783 0.0000 2.5498
2.4783 2.4783 2.5498
2.4783 2.4783 0.0000
```

Results
- magnetic moment (μB/f.u.) = 1.6
- energy relative to the lowest polymorph listed for this composition (kJ/mol of atoms) = 0.0


[5]
# YSbAsBr2

An optimized crystal structure of YSbAsBr2 (PBE, the Alexandria database).

The structure in POSCAR format:
```
YSbAsBr2
1.0
5.3783 0.0000 0.0000
0.0000 5.3783 0.0000
0.0000 0.0000 6.0109
Y Sb As Br
1 1 1 2
Cartesian
0.0000 0.0000 0.0000
2.6891 2.6891 3.0054
0.0000 0.0000 3.0054
0.0000 2.6891 0.0000
2.6891 0.0000 0.0000
```

Results
- magnetic moment (μB/f.u.) = 1.0
- energy relative to the lowest polymorph listed for this composition (kJ/mol of atoms) = 0.0


[6]
# YSbAsBr2

An optimized crystal structure of YSbAsBr2 (PBE, the Alexandria database).

The structure in POSCAR format:
```
YSbAsBr2
1.0
5.4474 0.0000 0.0000
0.0000 5.4474 0.0000
0.0000 0.0000 5.4843
Y Sb As Br
1 1 1 2
Cartesian
0.0000 0.0000 0.0000
2.7237 2.7237 2.7422
2.7237 2.7237 0.0000
0.0000 2.7237 2.7422
2.7237 0.0000 2.7422
```

Results
- magnetic moment (μB/f.u.) = 0.6
- energy relative to the lowest polymorph listed for this composition (kJ/mol of atoms) = 46.2


[7]
# ZnSbAsBr2

An optimized crystal structure of ZnSbAsBr2 (PBE, the Alexandria database).

The structure in POSCAR format:
```
ZnSbAsBr2
1.0
5.6564 0.0000 0.0000
0.0000 5.6564 0.0000
0.0000 0.0000 5.5744
Zn Sb As Br
1 1 1 2
Cartesian
0.0000 0.0000 0.0000
2.8282 2.8282 2.7872
2.8282 2.8282 0.0000
0.0000 2.8282 2.7872
2.8282 0.0000 2.7872
```

Results
- magnetic moment (μB/f.u.) = 1.6
- energy relative to the lowest polymorph listed for this composition (kJ/mol of atoms) = 5.7


[8]
# ZnSb2AsBr

An optimized crystal structure of ZnSb2AsBr (PBE, the Alexandria database).

The structure in POSCAR format:
```
ZnSb2AsBr
1.0
5.3166 0.0000 0.0000
0.0000 5.3166 0.0000
0.0000 0.0000 4.8403
Zn Sb As Br
1 2 1 1
Cartesian
0.0000 0.0000 0.0000
0.0000 2.6583 0.0000
2.6583 0.0000 0.0000
2.6583 2.6583 2.4202
0.0000 0.0000 2.4202
```

Results
- magnetic moment (μB/f.u.) = 0.0
- final energy (eV per atom) = -2.64


[9]
# ZnSbAsBr2

An optimized crystal structure of ZnSbAsBr2 (PBE, the Alexandria database).

The structure in POSCAR format:
```
ZnSbAsBr2
1.0
4.9567 0.0000 0.0000
0.0000 4.9567 0.0000
0.0000 0.0000 5.2806
Zn Sb As Br
1 1 1 2
Cartesian
0.0000 0.0000 0.0000
2.4784 2.4784 2.6403
0.0000 0.0000 2.6403
0.0000 2.4784 0.0000
2.4784 0.0000 0.0000
```

Results
- magnetic moment (μB/f.u.) = 0.0
- energy relative to the lowest polymorph listed for this composition (kJ/mol of atoms) = 0.0


[10]
# ZrSbAsBr2

An optimized crystal structure of ZrSbAsBr2 (PBE, the Alexandria database).

The structure in POSCAR format:
```
ZrSbAsBr2
1.0
5.1926 0.0000 0.0000
0.0000 5.1926 0.0000
0.0000 0.0000 5.5767
Zr Sb As Br
1 1 1 2
Cartesian
0.0000 0.0000 0.0000
2.5963 2.5963 2.7884
0.0000 0.0000 2.7884
0.0000 2.5963 0.0000
2.5963 0.0000 0.0000
```

Results
- magnetic moment (μB/f.u.) = 1.6
- energy relative to the lowest polymorph listed for this composition (kJ/mol of atoms) = 0.0


[11]
# ZrSbAsBr2

An optimized crystal structure of ZrSbAsBr2 (PBE, the Alexandria database).

The structure in POSCAR format:
```
ZrSbAsBr2
1.0
5.4437 0.0000 0.0000
0.0000 5.4437 0.0000
0.0000 0.0000 5.4334
Zr Sb As Br
1 1 1 2
Cartesian
0.0000 0.0000 0.0000
2.7219 2.7219 2.7167
2.7219 2.7219 0.0000
0.0000 2.7219 2.7167
2.7219 0.0000 2.7167
```

Results
- magnetic moment (μB/f.u.) = 2.1
- energy relative to the lowest polymorph listed for this composition (kJ/mol of atoms) = 73.3


[12]
# Zr2SbAsBr

An optimized crystal structure of Zr2SbAsBr (PBE, the Alexandria database).

The structure in POSCAR format:
```
Zr2SbAsBr
1.0
5.0005 0.0000 0.0000
0.0000 5.0005 0.0000
0.0000 0.0000 5.4224
Zr Sb As Br
2 1 1 1
Cartesian
0.0000 2.5002 0.0000
2.5002 0.0000 0.0000
0.0000 0.0000 2.7112
2.5002 2.5002 2.7112
0.0000 0.0000 0.0000
```

Results
- magnetic moment (μB/f.u.) = 0.0
- final energy (eV per atom) = -4.76